1.
Crystalline ScTc3Br at its relaxed geometry, computed with PBEsol.

Structure (POSCAR):
```
ScTc3Br
1.0
4.6545 0.0000 0.0000
0.0000 4.6545 0.0000
0.0000 0.0000 4.6545
Sc Tc Br
1 3 1
Direct
0.0000 0.0000 0.0000
0.0000 0.5000 0.0000
0.0000 0.0000 0.5000
0.5000 0.0000 0.0000
0.5000 0.5000 0.5000
```

Values from the calculation:
The value obtained for the density of states at the Fermi level is 7.5 states/eV/cell. The space group is Pm-3m. The volume comes out at 20.2 Å³/atom. The value obtained for the total magnetic moment is 4.181 μB/f.u. The uncorrected formation energy comes out at 2.24 eV/atom.


2.
Crystalline ScTcBr2 at its relaxed geometry, computed with PBEsol.

Structure (POSCAR):
```
ScTcBr2
1.0
4.6063 0.0000 0.0000
2.3032 3.9892 0.0000
2.3032 1.3297 3.7610
Br Sc Tc
2 1 1
Direct
0.2500 0.2500 0.2500
0.7500 0.7500 0.7500
0.5000 0.5000 0.5000
0.0000 0.0000 0.0000
```

Values from the calculation:
The value obtained for the density of states at the Fermi level is 4.7 states/eV/cell. The space group is Fm-3m. The volume comes out at 17.3 Å³/atom. The value obtained for the total magnetic moment is 0.004 μB/f.u. As for the distance to the lowest polymorph of the same formula: 13.3 kJ/mol of atoms. The uncorrected formation energy comes out at 0.07 eV/atom.


3.
Crystalline ScTcBr2 at its relaxed geometry, computed with PBEsol.

Structure (POSCAR):
```
ScTcBr2
1.0
-0.4078 -2.8412 1.5239
2.4686 -1.3331 1.6402
-1.7455 2.7090 8.0485
Br Sc Tc
2 1 1
Direct
0.2448 0.2448 0.2657
0.7552 0.7552 0.7343
0.5000 0.5000 0.5000
0.0000 0.0000 0.0000
```

Values from the calculation:
The value obtained for the density of states at the Fermi level is 3.9 states/eV/cell. The space group is R-3m. The volume comes out at 19.4 Å³/atom. The value obtained for the total magnetic moment is 2.727 μB/f.u. As for the distance to the lowest polymorph of the same formula: 18.1 kJ/mol of atoms. The uncorrected formation energy comes out at 0.12 eV/atom.


4.
Crystalline ScTcBr3 at its relaxed geometry, computed with PBEsol.

Structure (POSCAR):
```
ScTcBr3
1.0
4.9782 0.0000 0.0000
0.0000 4.9782 0.0000
0.0000 0.0000 4.9782
Sc Tc Br
1 1 3
Direct
0.5000 0.5000 0.5000
0.0000 0.0000 0.0000
0.0000 0.5000 0.0000
0.0000 0.0000 0.5000
0.5000 0.0000 0.0000
```

Values from the calculation:
The value obtained for the density of states at the Fermi level is 10.2 states/eV/cell. The space group is Pm-3m. The volume comes out at 24.7 Å³/atom. The value obtained for the total magnetic moment is 2.415 μB/f.u. The uncorrected formation energy comes out at 0.23 eV/atom.


5.
Crystalline Sc2TeBr at its relaxed geometry, computed with PBEsol.

Structure (POSCAR):
```
Sc2TeBr
1.0
3.6341 0.0000 0.0683
0.0000 3.7876 0.0000
-0.1870 0.0000 6.7980
Br Sc Te
1 2 1
Direct
0.0000 0.5000 0.5000
0.9962 0.0000 0.7694
0.0038 0.0000 0.2306
0.5000 0.5000 0.0000
```

Values from the calculation:
The value obtained for the density of states at the Fermi level is 3.6 states/eV/cell. The space group is P2/m. The volume comes out at 23.4 Å³/atom. The value obtained for the total magnetic moment is 0.000 μB/f.u. As for the distance to the lowest polymorph of the same formula: 0.0 kJ/mol of atoms. The uncorrected formation energy comes out at -0.94 eV/atom.


6.
Crystalline ScTeBr2 at its relaxed geometry, computed with PBEsol.

Structure (POSCAR):
```
ScTeBr2
1.0
3.7419 0.0000 0.0000
0.0000 3.7419 0.0000
0.0000 0.0000 7.5576
Br Sc Te
2 1 1
Direct
0.0000 0.0000 0.9358
0.5000 0.5000 0.3046
0.0000 0.0000 0.5505
0.5000 0.5000 0.7091
```

Values from the calculation:
The value obtained for the density of states at the Fermi level is 2.7 states/eV/cell. The space group is P4mm. The volume comes out at 26.5 Å³/atom. The value obtained for the total magnetic moment is 0.001 μB/f.u. As for the distance to the lowest polymorph of the same formula: 20.4 kJ/mol of atoms. The uncorrected formation energy comes out at -0.81 eV/atom.


7.
Crystalline ScTeBr2 at its relaxed geometry, computed with PBEsol.

Structure (POSCAR):
```
ScTeBr2
1.0
-2.9452 1.5960 0.1659
-2.6121 -4.9396 1.1483
3.6082 2.5939 5.1995
Br Sc Te
2 1 1
Direct
0.6702 0.6701 0.3403
0.3298 0.3299 0.6597
0.0000 0.5000 0.0000
0.5000 0.0000 0.0000
```

Values from the calculation:
The value obtained for the density of states at the Fermi level is 1.7 states/eV/cell. The space group is Immm. The volume comes out at 28.6 Å³/atom. The value obtained for the total magnetic moment is 0.001 μB/f.u. As for the distance to the lowest polymorph of the same formula: 0.8 kJ/mol of atoms. The uncorrected formation energy comes out at -1.01 eV/atom.


8.
Crystalline Sc2TeBr at its relaxed geometry, computed with PBEsol.

Structure (POSCAR):
```
Sc2TeBr
1.0
-3.3130 -1.0507 0.4655
1.3325 -4.6244 -0.9758
0.9085 -0.7432 4.7681
Br Sc Te
1 2 1
Direct
0.5000 0.0000 0.0000
0.0000 0.0000 0.5000
0.0000 0.5000 0.0000
0.5000 0.5000 0.5000
```

Values from the calculation:
The value obtained for the density of states at the Fermi level is 4.4 states/eV/cell. The space group is P4/mmm. The volume comes out at 21.1 Å³/atom. The value obtained for the total magnetic moment is 0.002 μB/f.u. As for the distance to the lowest polymorph of the same formula: 1.5 kJ/mol of atoms. The uncorrected formation energy comes out at -0.93 eV/atom.


9.
Crystalline Sc2TeBr at its relaxed geometry, computed with PBEsol.

Structure (POSCAR):
```
Sc2TeBr
1.0
-0.0728 3.1308 -1.5551
-2.0406 1.2238 2.5620
5.6507 1.9131 3.5868
Br Sc Te
1 2 1
Direct
0.5000 0.5000 0.0000
0.0000 0.0000 0.2602
0.0000 0.0000 0.7398
0.5000 0.5000 0.5000
```

Values from the calculation:
The value obtained for the density of states at the Fermi level is 4.6 states/eV/cell. The space group is P4/mmm. The volume comes out at 21.3 Å³/atom. The value obtained for the total magnetic moment is 0.002 μB/f.u. As for the distance to the lowest polymorph of the same formula: 3.5 kJ/mol of atoms. The uncorrected formation energy comes out at -0.91 eV/atom.


10.
Crystalline ScTeBr2 at its relaxed geometry, computed with PBEsol.

Structure (POSCAR):
```
ScTeBr2
1.0
3.6669 0.0000 0.0000
0.0000 4.3919 -0.0300
0.0000 -2.1208 7.2534
Br Sc Te
2 1 1
Direct
0.0000 0.9028 0.9340
0.5000 0.5908 0.3027
0.0000 0.7235 0.5715
0.5000 0.2829 0.6918
```

Values from the calculation:
The value obtained for the density of states at the Fermi level is 3.6 states/eV/cell. The space group is Pm. The volume comes out at 29.1 Å³/atom. The value obtained for the total magnetic moment is 0.001 μB/f.u. As for the distance to the lowest polymorph of the same formula: 0.0 kJ/mol of atoms. The uncorrected formation energy comes out at -1.02 eV/atom.


11.
Crystalline Sc2TlBr at its relaxed geometry, computed with PBEsol.

Structure (POSCAR):
```
Sc2TlBr
1.0
3.3051 0.0000 0.0000
0.0000 3.3051 0.0000
0.0000 0.0000 7.7353
Br Sc Tl
1 2 1
Direct
0.5000 0.5000 0.5000
0.0000 0.0000 0.7411
0.0000 0.0000 0.2589
0.5000 0.5000 0.0000
```

Values from the calculation:
The value obtained for the density of states at the Fermi level is 3.9 states/eV/cell. The space group is P4/mmm. The volume comes out at 21.1 Å³/atom. The value obtained for the total magnetic moment is 1.180 μB/f.u. As for the distance to the lowest polymorph of the same formula: 0.0 kJ/mol of atoms. The uncorrected formation energy comes out at -0.53 eV/atom.


12.
Crystalline ScTlBr at its relaxed geometry, computed with PBEsol.

Structure (POSCAR):
```
ScTlBr
1.0
3.4749 0.0000 0.0000
-1.7374 3.0093 0.0000
0.0000 0.0000 7.3454
Br Sc Tl
1 1 1
Direct
0.0000 0.0000 0.9332
0.3333 0.6667 0.6900
0.6667 0.3333 0.3768
```

Values from the calculation:
The value obtained for the density of states at the Fermi level is 2.6 states/eV/cell. The space group is P3m1. The volume comes out at 25.6 Å³/atom. The value obtained for the total magnetic moment is 0.001 μB/f.u. As for the distance to the lowest polymorph of the same formula: 0.0 kJ/mol of atoms. The uncorrected formation energy comes out at -0.70 eV/atom.


13.
Crystalline Sc2TlBr at its relaxed geometry, computed with PBEsol.

Structure (POSCAR):
```
Sc2TlBr
1.0
3.7832 0.0000 0.0000
1.8916 5.0634 -0.0121
1.8916 1.6563 4.7848
Br Sc Tl
1 2 1
Direct
0.0000 0.5000 0.5000
0.2786 0.7214 0.7214
0.7214 0.2786 0.2786
0.5000 0.0000 0.0000
```

Values from the calculation:
The value obtained for the density of states at the Fermi level is 3.7 states/eV/cell. The space group is Immm. The volume comes out at 22.9 Å³/atom. The value obtained for the total magnetic moment is 0.001 μB/f.u. As for the distance to the lowest polymorph of the same formula: 7.3 kJ/mol of atoms. The uncorrected formation energy comes out at -0.45 eV/atom.


14.
Crystalline ScTl3Br at its relaxed geometry, computed with PBEsol.

Structure (POSCAR):
```
ScTl3Br
1.0
-0.7284 -5.6321 -0.5076
3.8875 -0.8704 4.0790
-4.1068 0.1750 3.9513
Sc Tl Br
1 3 1
Direct
0.5000 0.5000 0.5000
0.0000 0.5000 0.0000
0.0000 0.0000 0.5000
0.5000 0.0000 0.0000
0.0000 0.0000 0.0000
```

Values from the calculation:
The value obtained for the density of states at the Fermi level is 5.3 states/eV/cell. The space group is Pm-3m. The volume comes out at 37.1 Å³/atom. The value obtained for the total magnetic moment is 0.774 μB/f.u. The uncorrected formation energy comes out at 0.46 eV/atom.


15.
Crystalline Sc2TlBr at its relaxed geometry, computed with PBEsol.

Structure (POSCAR):
```
Sc2TlBr
1.0
3.4415 0.0000 0.0000
0.0000 4.7077 0.0000
0.0000 0.0000 5.7897
Br Sc Tl
1 2 1
Direct
0.0000 0.5000 0.5000
0.0000 0.0000 0.0000
0.5000 0.0000 0.5000
0.5000 0.5000 0.0000
```

Values from the calculation:
The value obtained for the density of states at the Fermi level is 4.9 states/eV/cell. The space group is Pmmm. The volume comes out at 23.5 Å³/atom. The value obtained for the total magnetic moment is 0.000 μB/f.u. As for the distance to the lowest polymorph of the same formula: 19.7 kJ/mol of atoms. The uncorrected formation energy comes out at -0.33 eV/atom.


16.
Crystalline ScTlBr at its relaxed geometry, computed with PBEsol.

Structure (POSCAR):
```
ScTlBr
1.0
-2.3537 -1.9294 -1.5900
0.5165 -0.5944 3.3422
-4.4613 6.3886 0.8670
Br Sc Tl
1 1 1
Direct
0.0303 0.0303 0.0607
0.6568 0.6568 0.3135
0.3129 0.3129 0.6258
```

Values from the calculation:
The value obtained for the density of states at the Fermi level is 2.4 states/eV/cell. The space group is Fmm2. The volume comes out at 26.7 Å³/atom. The value obtained for the total magnetic moment is 0.000 μB/f.u. As for the distance to the lowest polymorph of the same formula: 15.0 kJ/mol of atoms. The uncorrected formation energy comes out at -0.55 eV/atom.